MnRh2Au | PBE | relaxed

Output
* ΔE_f: 11 meV per atom
* mass density: 12.579 Mg/m³
* DFT total energy: -27.1 eV/cell

Unit cell a=4.8260 b=4.8260 c=4.7647 alpha=77.03 beta=77.03 gamma=34.07
Last column: magnetic moment on the atom in μB.
Fractional positions:
Au 0.7500 0.7500 0.7500  0.07
Mn 0.2500 0.2500 0.2500  3.59
Rh 0.9867 0.9867 0.0141  0.12
Rh 0.5133 0.5133 0.4859  0.12